A plane-wave DFT calculation with meta-GGA SCAN was carried out for a PBEsol-optimized structure of PrAl10Os2.

Values from the calculation:
D(E_F) ... 3.82 states/eV/f.u.
Energy relative to the elements ... -53.2 kJ per mole of atoms
DFT total energy ... -20.905 eV/atom
SG ... Cmcm (63)
Spin magnetization ... 0.017 μB/atom

Unit cell a=6.848 b=6.848 c=9.142 alpha=90.00 beta=90.00 gamma=96.70
Atoms (fractional coordinates):
Pr 0.126 0.874 0.750
Pr 0.874 0.126 0.250
Al 0.142 0.412 0.750
Al 0.160 0.840 0.102
Al 0.160 0.840 0.398
Al 0.219 0.482 0.250
Al 0.226 0.226 0.000
Al 0.226 0.226 0.500
Al 0.377 0.623 0.550
Al 0.377 0.623 0.950
Al 0.412 0.142 0.250
Al 0.482 0.219 0.750
Al 0.518 0.781 0.250
Al 0.588 0.858 0.750
Al 0.623 0.377 0.050
Al 0.623 0.377 0.450
Al 0.774 0.774 0.000
Al 0.774 0.774 0.500
Al 0.781 0.518 0.750
Al 0.840 0.160 0.602
Al 0.840 0.160 0.898
Al 0.858 0.588 0.250
Os 0.000 0.500 0.000
Os 0.000 0.500 0.500
Os 0.500 0.000 0.000
Os 0.500 0.000 0.500